Here is a geometry-optimized CuSn2Hg structure from the Alexandria database. Energies are from PBE.

Properties
Spin magnetization ... 0.00 μB per formula unit
Total DFT energy (no corrections) ... -2.91 eV per atom
Formation enthalpy at 0 K ... 0.192 eV per atom

Cell lengths 4.814, 4.814, 9.374 Å; angles 75.12, 75.12, 90.00 degrees
Element x y z (fractional)
Sn1 0.875 0.825 0.750
Sn2 0.575 0.125 0.250
Sn3 0.175 0.625 0.250
Sn4 0.375 0.425 0.750
Hg1 0.750 0.250 0.500
Hg2 0.000 0.000 0.000
Cu1 0.500 0.500 0.000
Cu2 0.250 0.750 0.500